Entry 1:
Ac2InCu4Sn3 | PBE-GGA | optimized geometry

formation enthalpy at 0 K = -0.427 eV per atom

Unit cell a=4.5885 b=4.5885 c=10.8880 alpha=90.00 beta=90.00 gamma=90.00
Space group P-4m2 (No. 115)
Symmetry-distinct sites (fractional):
Ac 0.0000 0.5000 0.2383 [2 per cell]
In 0.0000 0.0000 0.5000 [1 per cell]
Cu 0.0000 0.0000 0.0000 [1 per cell]
Cu 0.0000 0.5000 0.6360 [2 per cell]
Cu 0.5000 0.5000 0.0000 [1 per cell]
Sn 0.0000 0.5000 0.8759 [2 per cell]
Sn 0.5000 0.5000 0.5000 [1 per cell]


Entry 2:
Ac2In4Cu3Sn | PBE-GGA | optimized geometry

formation enthalpy at 0 K = -0.302 eV per atom

Unit cell a=4.6124 b=4.6124 c=11.4981 alpha=90.00 beta=90.00 gamma=90.00
Space group P-4m2 (No. 115)
Symmetry-distinct sites (fractional):
Ac 0.0000 0.5000 0.2433 [2 per cell]
In 0.0000 0.0000 0.0000 [1 per cell]
In 0.0000 0.5000 0.6482 [2 per cell]
In 0.5000 0.5000 0.0000 [1 per cell]
Cu 0.0000 0.5000 0.8732 [2 per cell]
Cu 0.5000 0.5000 0.5000 [1 per cell]
Sn 0.0000 0.0000 0.5000 [1 per cell]


Entry 3:
SrAcInCu | PBE-GGA | optimized geometry

formation enthalpy at 0 K = -0.198 eV per atom

Unit cell a=7.9286 b=7.9286 c=7.9286 alpha=90.00 beta=90.00 gamma=90.00
Space group F-43m (No. 216)
Symmetry-distinct sites (fractional):
Sr 0.0000 0.0000 0.0000 [4 per cell]
Ac 0.0000 0.0000 0.5000 [4 per cell]
In 0.2500 0.2500 0.2500 [4 per cell]
Cu 0.2500 0.2500 0.7500 [4 per cell]


Entry 4:
AcThInCu | PBE-GGA | optimized geometry

formation enthalpy at 0 K = -0.073 eV per atom

Unit cell a=7.7192 b=7.7192 c=7.7192 alpha=90.00 beta=90.00 gamma=90.00
Space group F-43m (No. 216)
Symmetry-distinct sites (fractional):
Ac 0.0000 0.0000 0.0000 [4 per cell]
Th 0.0000 0.0000 0.5000 [4 per cell]
In 0.2500 0.2500 0.2500 [4 per cell]
Cu 0.2500 0.2500 0.7500 [4 per cell]


Entry 5:
Ac3Tl2In3Cu | PBE-GGA | optimized geometry

formation enthalpy at 0 K = -0.374 eV per atom

Unit cell a=8.0867 b=8.0867 c=4.7938 alpha=90.00 beta=90.00 gamma=120.00
Space group P-62m (No. 189)
Symmetry-distinct sites (fractional):
Ac 0.0000 0.6075 0.0000 [3 per cell]
Tl 0.3333 0.6667 0.5000 [2 per cell]
In 0.0000 0.2274 0.5000 [3 per cell]
Cu 0.0000 0.0000 0.0000 [1 per cell]


Entry 6:
AcTlInCu | PBE-GGA | optimized geometry

formation enthalpy at 0 K = -0.136 eV per atom

Unit cell a=7.5330 b=7.5330 c=7.5330 alpha=90.00 beta=90.00 gamma=90.00
Space group F-43m (No. 216)
Symmetry-distinct sites (fractional):
Ac 0.0000 0.0000 0.0000 [4 per cell]
Tl 0.2500 0.2500 0.2500 [4 per cell]
In 0.0000 0.0000 0.5000 [4 per cell]
Cu 0.2500 0.2500 0.7500 [4 per cell]


Entry 7:
AcYInCu | PBE-GGA | optimized geometry

formation enthalpy at 0 K = -0.218 eV per atom

Unit cell a=7.6789 b=7.6789 c=7.6789 alpha=90.00 beta=90.00 gamma=90.00
Space group F-43m (No. 216)
Symmetry-distinct sites (fractional):
Ac 0.0000 0.0000 0.0000 [4 per cell]
Y 0.0000 0.0000 0.5000 [4 per cell]
In 0.2500 0.2500 0.7500 [4 per cell]
Cu 0.2500 0.2500 0.2500 [4 per cell]


Entry 8:
Ac3ZnIn2Cu6 | PBE-GGA | optimized geometry

formation enthalpy at 0 K = -0.125 eV per atom

Unit cell a=6.2069 b=6.2069 c=8.4885 alpha=90.00 beta=90.00 gamma=120.00
Space group P-3m1 (No. 164)
Symmetry-distinct sites (fractional):
Ac 0.0000 0.0000 0.0000 [1 per cell]
Ac 0.3333 0.6667 0.7198 [2 per cell]
Zn 0.0000 0.0000 0.5000 [1 per cell]
In 0.3333 0.6667 0.1172 [2 per cell]
Cu 0.2000 0.4000 0.3876 [6 per cell]


Entry 9:
Ac2Zn4InCu3 | PBE-GGA | optimized geometry

formation enthalpy at 0 K = -0.231 eV per atom

Unit cell a=4.3788 b=4.3788 c=10.9089 alpha=90.00 beta=90.00 gamma=90.00
Space group P-4m2 (No. 115)
Symmetry-distinct sites (fractional):
Ac 0.0000 0.5000 0.2378 [2 per cell]
Zn 0.0000 0.0000 0.0000 [1 per cell]
Zn 0.0000 0.5000 0.6442 [2 per cell]
Zn 0.5000 0.5000 0.0000 [1 per cell]
In 0.0000 0.0000 0.5000 [1 per cell]
Cu 0.0000 0.5000 0.8773 [2 per cell]
Cu 0.5000 0.5000 0.5000 [1 per cell]


Entry 10:
Ac2Zn3InCu4 | PBE-GGA | optimized geometry

formation enthalpy at 0 K = -0.220 eV per atom

Unit cell a=4.3705 b=4.3705 c=10.7455 alpha=90.00 beta=90.00 gamma=90.00
Space group P-4m2 (No. 115)
Symmetry-distinct sites (fractional):
Ac 0.0000 0.5000 0.2351 [2 per cell]
Zn 0.0000 0.5000 0.8851 [2 per cell]
Zn 0.5000 0.5000 0.5000 [1 per cell]
In 0.0000 0.0000 0.5000 [1 per cell]
Cu 0.0000 0.0000 0.0000 [1 per cell]
Cu 0.0000 0.5000 0.6463 [2 per cell]
Cu 0.5000 0.5000 0.0000 [1 per cell]


Entry 11:
AcCu4Ir | PBE-GGA | optimized geometry

formation enthalpy at 0 K = -0.022 eV per atom

Unit cell a=7.3012 b=7.3012 c=7.3012 alpha=90.00 beta=90.00 gamma=90.00
Space group F-43m (No. 216)
Symmetry-distinct sites (fractional):
Ac 0.0000 0.0000 0.0000 [4 per cell]
Cu 0.1227 0.1227 0.6227 [16 per cell]
Ir 0.2500 0.2500 0.2500 [4 per cell]


Entry 12:
AcCu2Ir | PBE-GGA | optimized geometry

formation enthalpy at 0 K = 0.006 eV per atom

Unit cell a=5.6494 b=6.8742 c=4.5174 alpha=90.00 beta=90.00 gamma=90.00
Space group Cmmm (No. 65)
Symmetry-distinct sites (fractional):
Ac 0.0000 0.0000 0.0000 [2 per cell]
Cu 0.0000 0.3270 0.5000 [4 per cell]
Ir 0.0000 0.5000 0.0000 [2 per cell]


Entry 13:
AcCu2Ir | PBE-GGA | optimized geometry

formation enthalpy at 0 K = 0.063 eV per atom

Unit cell a=4.8309 b=4.8309 c=11.3663 alpha=90.00 beta=90.00 gamma=120.00
Space group R-3m (No. 166, hexagonal axes)
Symmetry-distinct sites (fractional):
Ac 0.0000 0.0000 0.0000 [3 per cell]
Cu 0.0000 0.0000 0.2594 [6 per cell]
Ir 0.0000 0.0000 0.5000 [3 per cell]


Entry 14:
Ac3Cu2Ir3 | PBE-GGA | optimized geometry

formation enthalpy at 0 K = -0.413 eV per atom

Unit cell a=4.3879 b=11.1758 c=15.7543 alpha=90.00 beta=90.00 gamma=90.00
Space group Cmcm (No. 63)
Symmetry-distinct sites (fractional):
Ac 0.0000 0.0783 0.2500 [4 per cell]
Ac 0.0000 0.3604 0.0942 [8 per cell]
Cu 0.0000 0.3445 0.6141 [8 per cell]
Ir 0.0000 0.0808 0.0556 [8 per cell]
Ir 0.0000 0.2093 0.7500 [4 per cell]


Entry 15:
AcCuIr | PBE-GGA | optimized geometry

formation enthalpy at 0 K = -0.309 eV per atom

Unit cell a=4.5101 b=4.5101 c=13.5840 alpha=90.00 beta=90.00 gamma=90.00
Space group I4/mmm (No. 139)
Symmetry-distinct sites (fractional):
Ac 0.0000 0.0000 0.1490 [4 per cell]
Cu 0.0000 0.0000 0.4027 [4 per cell]
Ir 0.0000 0.5000 0.0000 [4 per cell]


Entry 16:
Ac12CuIr5 | PBE-GGA | optimized geometry

formation enthalpy at 0 K = -0.482 eV per atom

Unit cell a=7.5777 b=13.3266 c=14.0930 alpha=90.00 beta=90.23 gamma=90.00
Space group C2/m (No. 12)
Symmetry-distinct sites (fractional):
Ac 0.1555 0.0000 0.1138 [4 per cell]
Ac 0.1643 0.1666 0.3896 [8 per cell]
Ac 0.1645 0.5000 0.3892 [4 per cell]
Ac 0.1707 0.3281 0.1132 [8 per cell]
Cu 0.0000 0.5000 0.0000 [2 per cell]
Ir 0.0000 0.0000 0.5000 [2 per cell]
Ir 0.0000 0.1661 0.0000 [4 per cell]
Ir 0.0000 0.3334 0.5000 [4 per cell]


Entry 17:
AcCuIr | PBE-GGA | optimized geometry

formation enthalpy at 0 K = 0.072 eV per atom

Unit cell a=4.0101 b=4.0101 c=8.5567 alpha=90.00 beta=90.00 gamma=90.00
Space group I4mm (No. 107)
Symmetry-distinct sites (fractional):
Ac 0.0000 0.0000 0.0000 [2 per cell]
Cu 0.0000 0.0000 0.6637 [2 per cell]
Ir 0.0000 0.0000 0.3599 [2 per cell]


Entry 18:
Ac2Cu3Ir | PBE-GGA | optimized geometry

formation enthalpy at 0 K = -0.316 eV per atom

Unit cell a=8.2849 b=8.8049 c=15.0161 alpha=90.00 beta=90.00 gamma=90.00
Space group Fmmm (No. 69)
Symmetry-distinct sites (fractional):
Ac 0.2427 0.0000 0.0000 [8 per cell]
Ac 0.2500 0.2500 0.2500 [8 per cell]
Cu 0.0000 0.0000 0.3341 [8 per cell]
Cu 0.0000 0.2437 0.4174 [16 per cell]
Ir 0.0000 0.0000 0.1623 [8 per cell]


Entry 19:
AcCuIr | PBE-GGA | optimized geometry

formation enthalpy at 0 K = -0.240 eV per atom

Unit cell a=5.0706 b=8.8013 c=6.6774 alpha=90.00 beta=90.00 gamma=90.00
Space group Imma (No. 74)
Symmetry-distinct sites (fractional):
Ac 0.0000 0.0000 0.0000 [4 per cell]
Cu 0.0000 0.2500 0.4029 [4 per cell]
Ir 0.2500 0.2500 0.7500 [4 per cell]


Entry 20:
Ac4CuIr3 | PBE-GGA | optimized geometry

formation enthalpy at 0 K = -0.516 eV per atom

Unit cell a=4.1845 b=4.4886 c=11.4548 alpha=90.00 beta=90.00 gamma=90.00
Space group Pmm2 (No. 25)
Symmetry-distinct sites (fractional):
Ac 0.0000 0.0000 0.0000 [1 per cell]
Ac 0.0000 0.5000 0.2661 [1 per cell]
Ac 0.5000 0.0000 0.4849 [1 per cell]
Ac 0.5000 0.5000 0.7669 [1 per cell]
Cu 0.0000 0.0000 0.6938 [1 per cell]
Ir 0.0000 0.5000 0.5595 [1 per cell]
Ir 0.5000 0.0000 0.2171 [1 per cell]
Ir 0.5000 0.5000 0.0366 [1 per cell]